Computed, not measured: a relaxed YErZnPt crystal at the PBE level of DFT.

Results
* energy: -5.39 eV per atom
* volume: 86.7 Å³ per cell
* E_form: -0.80 eV per atom
* polymorph energy (0 for the lowest one): 0.017 eV/atom
* spin magnetization: 0.0 μB per cell

abc: 4.9686 4.9686 4.9686
angles: 60.00 60.00 60.00
Atoms (fractional coordinates):
Y1 0.5000 0.5000 0.5000
Zn1 0.2500 0.2500 0.2500
Pt1 0.7500 0.7500 0.7500
Er1 0.0000 0.0000 0.0000